Computed, not measured: crystalline Ac4AsSe2Br at its relaxed geometry at the GGA-PBE level of DFT.

Cell and atoms, written as POSCAR:
```
Ac4AsSe2Br
1.0
7.7759 0.0000 0.0000
0.0000 4.5015 0.0000
-2.6036 0.0000 7.3568
Ac As Se Br
4 1 2 1
direct
0.2310 0.0000 0.2377
0.2362 0.5000 0.7511
0.7638 0.5000 0.2489
0.7690 0.0000 0.7623
0.0000 0.0000 0.5000
0.0000 0.5000 0.0000
0.5000 0.0000 0.0000
0.5000 0.5000 0.5000
```

Properties
energy relative to the elements, uncorrected = -1619 meV per atom
SG = P2/m (10)
DFT total energy = -42.67 eV/f.u.
mass density = 7.87 g/cm³